A.
A geometry-optimized BiMo2C structure. Source: OQMD, functional GGA-PBE.

POSCAR file:
```
BiMo2C
1.0
3.295 0.000 0.000
-1.648 2.854 0.000
0.000 0.000 13.613
Mo C Bi
4 2 2
Direct
0.333 0.667 0.076 Mo
0.667 0.333 0.576 Mo
0.333 0.667 0.424 Mo
0.667 0.333 0.924 Mo
0.000 0.000 0.000 C
0.000 0.000 0.500 C
0.333 0.667 0.750 Bi
0.667 0.333 0.250 Bi
```

## Properties
space-group type: P6_3/mmc
size of the total moment: 0.00 μB per atom

---

B.
A geometry-optimized BiMo2C structure. Source: OQMD, functional GGA-PBE.

POSCAR file:
```
BiMo2C
1.0
4.862 -2.809 0.000
4.862 2.809 0.000
-4.165 0.000 14.229
C Mo Bi
6 12 6
Direct
0.833 0.833 0.000 C
0.833 0.833 0.500 C
0.500 0.500 0.000 C
0.167 0.167 0.500 C
0.500 0.500 0.500 C
0.167 0.167 0.000 C
0.530 0.867 0.075 Mo
0.197 0.533 0.075 Mo
0.470 0.133 0.925 Mo
0.136 0.800 0.925 Mo
0.200 0.864 0.575 Mo
0.867 0.530 0.575 Mo
0.533 0.197 0.575 Mo
0.467 0.803 0.425 Mo
0.800 0.136 0.425 Mo
0.864 0.200 0.075 Mo
0.803 0.467 0.925 Mo
0.133 0.470 0.425 Mo
0.631 0.369 0.250 Bi
0.702 0.965 0.750 Bi
0.369 0.631 0.750 Bi
0.035 0.298 0.750 Bi
0.965 0.702 0.250 Bi
0.298 0.035 0.250 Bi
```

## Properties
space-group type: C2/c
size of the total moment: 0.00 μB per atom

---

Energetically preferred structure: B | next structure: +0.023 eV/atom

---

A.
A geometry-optimized CdBi3 structure. Source: OQMD, functional GGA-PBE.

POSCAR file:
```
CdBi3
1.0
1.995 -6.661 0.000
-3.991 0.000 0.000
0.000 0.000 -8.996
Bi Cd
6 2
Direct
0.243 0.122 0.452 Bi
0.757 0.878 0.548 Bi
0.918 0.459 0.250 Bi
0.082 0.541 0.750 Bi
0.243 0.122 0.048 Bi
0.757 0.878 0.952 Bi
0.506 0.753 0.250 Cd
0.494 0.247 0.750 Cd
```

## Properties
space-group type: Cmcm

---

B.
A geometry-optimized CdBi3 structure. Source: OQMD, functional GGA-PBE.

POSCAR file:
```
CdBi3
1.0
9.590 0.000 0.000
0.000 4.247 0.000
0.000 0.000 12.223
Bi Cd
12 4
Direct
0.947 0.250 0.272 Bi
0.779 0.250 0.647 Bi
0.432 0.250 0.588 Bi
0.568 0.750 0.412 Bi
0.279 0.250 0.853 Bi
0.553 0.750 0.772 Bi
0.221 0.750 0.353 Bi
0.447 0.250 0.228 Bi
0.932 0.250 0.912 Bi
0.721 0.750 0.147 Bi
0.053 0.750 0.728 Bi
0.068 0.750 0.088 Bi
0.888 0.750 0.468 Cd
0.612 0.250 0.968 Cd
0.112 0.250 0.532 Cd
0.388 0.750 0.032 Cd
```

## Properties
space-group type: Pnma

---

Energetically preferred structure: B | next structure: +0.011 eV/atom

---

A.
A geometry-optimized LuCdCoBi structure. Source: OQMD, functional GGA-PBE.

POSCAR file:
```
LuCdCoBi
1.0
3.844 -1.806 2.491
-0.467 -1.124 4.771
0.012 -4.711 1.432
Cd Bi Lu Co
1 1 1 1
Direct
0.250 0.250 0.250 Cd
0.000 0.000 0.000 Bi
0.500 0.500 0.500 Lu
0.750 0.750 0.750 Co
```

## Properties
space-group type: F-43m
size of the total moment: 0.11 μB per atom

---

B.
A geometry-optimized LuCdCoBi structure. Source: OQMD, functional GGA-PBE.

POSCAR file:
```
LuCdCoBi
1.0
4.497 -1.001 1.737
2.887 3.650 1.606
0.939 0.461 4.811
Co Lu Bi Cd
1 1 1 1
Direct
0.750 0.750 0.750 Co
0.250 0.250 0.250 Lu
0.000 0.000 0.000 Bi
0.500 0.500 0.500 Cd
```

## Properties
space-group type: F-43m
size of the total moment: 0.24 μB per atom

---

Energetically preferred structure: B | next structure: +0.021 eV/atom

---

A.
A geometry-optimized ScCdCoBi structure. Source: OQMD, functional GGA-PBE.

POSCAR file:
```
ScCdCoBi
1.0
0.000 3.431 3.431
3.431 0.000 3.431
3.431 3.431 0.000
Bi Cd Co Sc
1 1 1 1
Direct
0.000 0.000 0.000 Bi
0.250 0.250 0.250 Cd
0.750 0.750 0.750 Co
0.500 0.500 0.500 Sc
```

## Properties
space-group type: F-43m
size of the total moment: 0.08 μB per atom

---

B.
A geometry-optimized ScCdCoBi structure. Source: OQMD, functional GGA-PBE.

POSCAR file:
```
ScCdCoBi
1.0
3.907 -2.719 0.707
2.991 0.986 3.638
0.225 -2.948 3.797
Sc Co Bi Cd
1 1 1 1
Direct
0.250 0.250 0.250 Sc
0.750 0.750 0.750 Co
0.000 0.000 0.000 Bi
0.500 0.500 0.500 Cd
```

## Properties
space-group type: F-43m
size of the total moment: 0.24 μB per atom

---

Energetically preferred structure: B | next structure: +0.060 eV/atom

---

A.
A geometry-optimized TaCdCoBi structure. Source: OQMD, functional GGA-PBE.

POSCAR file:
```
TaCdCoBi
1.0
3.227 -2.232 2.658
-1.066 -4.142 2.040
2.004 -3.998 -1.567
Bi Cd Ta Co
1 1 1 1
Direct
0.000 0.000 0.000 Bi
0.500 0.500 0.500 Cd
0.250 0.250 0.250 Ta
0.750 0.750 0.750 Co
```

## Properties
space-group type: F-43m
size of the total moment: 0.41 μB per atom

---

B.
A geometry-optimized TaCdCoBi structure. Source: OQMD, functional GGA-PBE.

POSCAR file:
```
TaCdCoBi
1.0
0.000 3.399 3.399
3.399 0.000 3.399
3.399 3.399 0.000
Bi Ta Co Cd
1 1 1 1
Direct
0.000 0.000 0.000 Bi
0.500 0.500 0.500 Ta
0.750 0.750 0.750 Co
0.250 0.250 0.250 Cd
```

## Properties
space-group type: F-43m
size of the total moment: 0.24 μB per atom

---

Energetically preferred structure: A | next structure: +0.039 eV/atom

---

A.
A geometry-optimized CdCoBiW structure. Source: OQMD, functional GGA-PBE.

POSCAR file:
```
CdCoBiW
1.0
0.000 3.307 3.307
3.307 0.000 3.307
3.307 3.307 0.000
Cd Co W Bi
1 1 1 1
Direct
0.500 0.500 0.500 Cd
0.750 0.750 0.750 Co
0.250 0.250 0.250 W
0.000 0.000 0.000 Bi
```

## Properties
space-group type: F-43m
size of the total moment: 0.18 μB per atom

---

B.
A geometry-optimized CdCoBiW structure. Source: OQMD, functional GGA-PBE.

POSCAR file:
```
CdCoBiW
1.0
-0.801 2.214 4.127
-4.172 -0.532 2.211
-0.251 -2.505 4.030
W Bi Co Cd
1 1 1 1
Direct
0.500 0.500 0.500 W
0.000 0.000 0.000 Bi
0.750 0.750 0.750 Co
0.250 0.250 0.250 Cd
```

## Properties
space-group type: F-43m
size of the total moment: 0.54 μB per atom

---

Energetically preferred structure: A | next structure: +0.138 eV/atom